The following is a DFT calculation (GGA-PBEsol) of an optimized crystal structure of MnSbCl.

Structure (POSCAR):
```
MnSbCl
1.0
4.757 0.000 0.000
2.379 4.120 0.000
2.379 1.373 3.884
Cl Mn Sb
1 1 1
Direct
0.000 0.000 0.000 Cl
0.500 0.500 0.500 Mn
0.250 0.250 0.250 Sb
```

Properties
relative energy among the computed polymorphs	849	meV per atom